Here is crystalline Li3NiB2O6 at its relaxed geometry from Alexandria via LeMat-Bulk. Energies are from GGA+U.

Lattice parameters (Å, degrees): 4.960 6.378 8.083 73.42 89.03 89.35
Fractional coordinates of all 24 atoms:
Li 0.174 0.262 0.388
Li 0.179 0.960 0.736
Li 0.321 0.100 0.071
Li 0.679 0.900 0.929
Li 0.821 0.040 0.264
Li 0.826 0.738 0.612
Ni 0.345 0.443 0.722
Ni 0.655 0.557 0.278
B 0.168 0.679 0.092
B 0.340 0.829 0.428
B 0.660 0.171 0.572
B 0.832 0.321 0.908
O 0.116 0.330 0.905
O 0.209 0.995 0.316
O 0.221 0.718 0.588
O 0.294 0.840 0.970
O 0.302 0.521 0.220
O 0.390 0.229 0.602
O 0.610 0.771 0.398
O 0.698 0.479 0.780
O 0.706 0.160 0.030
O 0.779 0.282 0.412
O 0.791 0.005 0.684
O 0.884 0.670 0.095

As for the energy above the most stable polymorph in this dataset: 0.000 eV/atom. For the total energy, the calculation gives -150.10 eV per cell.